## ZnIBr (GGA-PBE)

Data for a geometry-optimized ZnIBr structure.

As for the space-group type: Amm2, No. 38. The total energy comes out at -2.0120 eV per atom. The uncorrected formation energy comes out at -0.5130 eV/atom. The calculation puts the volume at 43.2 Å³ per atom.

The structure in POSCAR format:
```
ZnIBr
1.0
3.776 0.000 0.000
-1.888 4.626 0.000
0.000 0.000 14.827
Zn Br I
2 2 2
direct
0.585 0.169 0.000
0.305 0.609 0.500
0.085 0.169 0.885
0.085 0.169 0.115
0.804 0.608 0.371
0.804 0.608 0.629
```